Entry from the Alexandria database: a relaxed Ho5Tl4Rh crystal (PBE-GGA).

ΔE to the lowest computed polymorph (meV/atom): 0
Crystal system: tetragonal
E_form (eV per atom): -0.45
Space-group type: P4/mmm (123)
Magnetic moment (μB per atom): 0.045

Cell lengths 3.506, 3.506, 20.734 Å; angles 90.00, 90.00, 90.00 degrees
Fractional positions:
Ho 0.000 0.000 0.000
Ho 0.000 0.000 0.208
Ho 0.000 0.000 0.420
Ho 0.000 0.000 0.580
Ho 0.000 0.000 0.792
Tl 0.500 0.500 0.104
Tl 0.500 0.500 0.312
Tl 0.500 0.500 0.688
Tl 0.500 0.500 0.896
Rh 0.500 0.500 0.500


Entry from the Alexandria database: a relaxed Ho6TlRh3 crystal (PBE-GGA).

Crystal system: monoclinic
E_form (eV per atom): -0.57
Space-group type: P2_1/m (11)
Magnetic moment (μB per atom): 0.000

Cell lengths 10.644, 4.468, 11.704 Å; angles 90.00, 112.10, 90.00 degrees
Fractional positions:
Ho 0.022 0.250 0.389
Ho 0.101 0.250 0.934
Ho 0.221 0.750 0.306
Ho 0.329 0.750 0.800
Ho 0.367 0.250 0.566
Ho 0.386 0.750 0.102
Ho 0.614 0.250 0.898
Ho 0.633 0.750 0.434
Ho 0.671 0.250 0.200
Ho 0.779 0.250 0.694
Ho 0.899 0.750 0.066
Ho 0.978 0.750 0.611
Tl 0.421 0.250 0.302
Tl 0.579 0.750 0.698
Rh 0.076 0.250 0.172
Rh 0.188 0.750 0.528
Rh 0.388 0.250 0.960
Rh 0.612 0.750 0.040
Rh 0.812 0.250 0.472
Rh 0.924 0.750 0.828


Entry from the Alexandria database: a relaxed Ho6Tl2Rh crystal (PBE-GGA).

Crystal system: orthorhombic
E_form (eV per atom): -0.23
Space-group type: Immm (71)
Magnetic moment (μB per atom): 0.000

Cell lengths 8.633, 8.633, 8.633 Å; angles 145.91, 130.55, 61.42 degrees
Fractional positions:
Ho 0.084 0.345 0.739
Ho 0.226 0.000 0.226
Ho 0.394 0.655 0.739
Ho 0.606 0.345 0.261
Ho 0.774 0.000 0.774
Ho 0.916 0.655 0.261
Tl 0.333 0.833 0.500
Tl 0.667 0.167 0.500
Rh 0.000 0.500 0.500


Please write out number 1 again, unchanged.
Entry from the Alexandria database: a relaxed Ho5Tl4Rh crystal (PBE-GGA).

ΔE to the lowest computed polymorph (meV/atom): 0
Crystal system: tetragonal
E_form (eV per atom): -0.45
Space-group type: P4/mmm (123)
Magnetic moment (μB per atom): 0.045

Cell lengths 3.506, 3.506, 20.734 Å; angles 90.00, 90.00, 90.00 degrees
Fractional positions:
Ho 0.000 0.000 0.000
Ho 0.000 0.000 0.208
Ho 0.000 0.000 0.420
Ho 0.000 0.000 0.580
Ho 0.000 0.000 0.792
Tl 0.500 0.500 0.104
Tl 0.500 0.500 0.312
Tl 0.500 0.500 0.688
Tl 0.500 0.500 0.896
Rh 0.500 0.500 0.500


Which formula does entry 2 have?
Ho6TlRh3